Computed, not measured: an optimized crystal structure of NaScSi at the GGA-PBE level of DFT.

Total energy ... -0.234 Ry per atom
Crystal system ... hexagonal
N(E_F) ... 9.674 states/eV per cell
Energy relative to the elements, uncorrected ... 1.1704 eV/atom
Magnetic moment ... 0.00 Bohr magnetons per cell

The structure in CIF format:
```
data_NaScSi
_symmetry_space_group_name_H-M 'P 63/m m c'
_symmetry_Int_Tables_number 194
_symmetry_space_group_name_Hall '-P 6c 2c'
_cell_length_a 5.7836
_cell_length_b 5.7836
_cell_length_c 10.0227
_cell_angle_alpha 90.00
_cell_angle_beta 90.00
_cell_angle_gamma 120.00
loop_
_atom_site_label
_atom_site_fract_x
_atom_site_fract_y
_atom_site_fract_z
_atom_site_occupancy
Na1 0.3333 0.6667 0.2500 1
Sc1 0.0000 0.0000 0.2500 1
Si1 0.0000 0.0000 0.0000 1
```